Density functional theory data (GGA-PBE) for an optimized crystal structure of Nd2ErPuBi4.

Results
Raw total energy, eV/atom: -6.2440
Total magnetic moment, μB per atom: 0.640
Energy of formation from the pure elements, kJ/mol of formula units: -579

abc: 4.5582 7.8830 7.8793
angles: 109.44 90.00 90.00
With the nearest neighbours (Å) after each atom.
Fractional positions:
Er 0.0000 0.0000 0.0000  6 Bi 3.17
Bi 0.5000 0.2447 0.2406  2 Er 3.17, 1 Pu 3.19, 3 Nd 3.24-3.27
Bi 0.0000 0.7495 0.2422  1 Er 3.17, 2 Pu 3.19, 3 Nd 3.25-3.26
Bi 0.5000 0.7553 0.7594  2 Er 3.17, 1 Pu 3.19, 3 Nd 3.24-3.27
Bi 0.0000 0.2505 0.7578  1 Er 3.17, 2 Pu 3.19, 3 Nd 3.25-3.26
Pu 0.5000 0.5000 0.0000  6 Bi 3.19
Nd 0.0000 0.5000 0.5000  6 Bi 3.26-3.27
Nd 0.5000 0.0000 0.5000  6 Bi 3.24-3.25